Below is a geometry-optimized TbTc2Os2 structure, with properties calculated at the PBE level.

Calculated values
Distance to the lowest polymorph of the same formula (meV per atom): 0
M_tot (μB per formula unit): 0.02
Energy (eV per atom): -9.593
E_form (eV per atom): -0.033
Crystal system: tetragonal

Lattice parameters (Å, degrees): 6.024 6.024 6.024 139.12 139.12 59.19
Atoms (fractional coordinates):
Os 0.616 0.616 0.000
Tc 0.250 0.750 0.500
Os 0.384 0.384 0.000
Tb 0.000 0.000 0.000
Tc 0.750 0.250 0.500